{
  "formula": "LiTi2Fe",
  "functional": "PBE",
  "state": "optimized geometry",
  "magmom_total_mub_per_atom": 0.00,
  "spacegroup": "I-42d, No. 122",
  "ef_ev_per_atom": 0.353,
  "rho_g_cm3": 4.49,
  "lattice_angstrom": [[6.659, 0.000, 0.000], [0.000, 6.659, 0.000], [0.000, 0.000, 5.291]],
  "species": ["Li", "Li", "Li", "Li", "Ti", "Ti", "Ti", "Ti", "Ti", "Ti", "Ti", "Ti", "Fe", "Fe", "Fe", "Fe"],
  "fractional_positions": [[0.000, 0.000, 0.000], [0.000, 0.500, 0.250], [0.500, 0.000, 0.750], [0.500, 0.500, 0.500], [0.226, 0.750, 0.625], [0.250, 0.226, 0.375], [0.250, 0.274, 0.875], [0.274, 0.750, 0.125], [0.726, 0.250, 0.125], [0.750, 0.726, 0.875], [0.750, 0.774, 0.375], [0.774, 0.250, 0.625], [0.000, 0.000, 0.500], [0.000, 0.500, 0.750], [0.500, 0.000, 0.250], [0.500, 0.500, 0.000]]
}

---

{
  "formula": "Rb3Sr2US6",
  "functional": "PBE",
  "state": "optimized geometry",
  "magmom_total_mub_per_atom": 0.08,
  "spacegroup": "C2/m, No. 12",
  "rho_g_cm3": 3.93,
  "raw_formation_energy_ev_per_atom": -1.63,
  "lattice_angstrom": [[3.709, -6.417, 0.000], [3.709, 6.417, 0.000], [-2.485, 0.000, 7.653]],
  "species": ["Rb", "Rb", "Rb", "Sr", "Sr", "U", "S", "S", "S", "S", "S", "S"],
  "fractional_positions": [[0.000, 0.000, 0.000], [0.329, 0.671, 0.000], [0.671, 0.329, 0.000], [0.166, 0.834, 0.500], [0.834, 0.166, 0.500], [0.500, 0.500, 0.500], [0.137, 0.435, 0.304], [0.269, 0.269, 0.696], [0.435, 0.137, 0.304], [0.565, 0.863, 0.696], [0.731, 0.731, 0.304], [0.863, 0.565, 0.696]]
}

---

{
  "formula": "AcDy4Ho5",
  "functional": "PBE",
  "state": "optimized geometry",
  "magmom_total_mub_per_atom": 0.00,
  "spacegroup": "C2/m, No. 12",
  "ef_ev_per_atom": 0.217,
  "rho_g_cm3": 8.33,
  "lattice_angstrom": [[8.602, -1.788, 0.000], [8.602, 1.788, 0.000], [-0.111, 0.000, 11.024]],
  "species": ["Ac", "Dy", "Dy", "Dy", "Dy", "Ho", "Ho", "Ho", "Ho", "Ho"],
  "fractional_positions": [[0.000, 0.000, 0.000], [0.152, 0.152, 0.250], [0.473, 0.473, 0.258], [0.527, 0.527, 0.742], [0.848, 0.848, 0.750], [0.000, 0.000, 0.500], [0.323, 0.323, 0.058], [0.327, 0.327, 0.452], [0.673, 0.673, 0.548], [0.677, 0.677, 0.942]]
}

---

{
  "formula": "BeAlGa2O6",
  "functional": "PBE",
  "state": "optimized geometry",
  "magmom_total_mub_per_atom": 0.10,
  "spacegroup": "C2/c, No. 15",
  "rho_g_cm3": 4.35,
  "raw_formation_energy_ev_per_atom": -2.00,
  "lattice_angstrom": [[4.576, -4.855, 0.000], [4.576, 4.855, 0.000], [-1.551, 0.000, 4.661]],
  "species": ["Be", "Be", "Al", "Al", "Ga", "Ga", "Ga", "Ga", "O", "O", "O", "O", "O", "O", "O", "O", "O", "O", "O", "O"],
  "fractional_positions": [[0.179, 0.821, 0.750], [0.821, 0.179, 0.250], [0.095, 0.905, 0.250], [0.905, 0.095, 0.750], [0.229, 0.435, 0.293], [0.435, 0.229, 0.793], [0.565, 0.771, 0.207], [0.771, 0.565, 0.707], [0.043, 0.186, 0.142], [0.120, 0.673, 0.418], [0.186, 0.043, 0.642], [0.317, 0.458, 0.957], [0.327, 0.880, 0.082], [0.458, 0.317, 0.457], [0.542, 0.683, 0.543], [0.673, 0.120, 0.918], [0.683, 0.542, 0.043], [0.814, 0.957, 0.358], [0.880, 0.327, 0.582], [0.957, 0.814, 0.858]]
}

---

{
  "formula": "Eu2CuN",
  "functional": "PBE",
  "state": "optimized geometry",
  "magmom_total_mub_per_atom": 3.44,
  "spacegroup": "P4/mmm, No. 123",
  "rho_g_cm3": 8.51,
  "raw_formation_energy_ev_per_atom": -0.26,
  "lattice_angstrom": [[3.224, 0.000, 0.000], [0.000, 3.224, 0.000], [0.000, 0.000, 7.162]],
  "species": ["Eu", "Eu", "Cu", "N"],
  "fractional_positions": [[0.000, 0.000, 0.198], [0.000, 0.000, 0.802], [0.500, 0.500, 0.500], [0.500, 0.500, 0.000]]
}

---

{
  "formula": "NpGaH2O6",
  "functional": "PBE",
  "state": "optimized geometry",
  "magmom_total_mub_per_atom": 0.00,
  "spacegroup": "P-1, No. 2",
  "rho_g_cm3": 5.93,
  "lattice_angstrom": [[5.122, 0.000, 0.000], [2.260, 4.669, 0.000], [0.016, 2.846, 4.741]],
  "species": ["Np", "Ga", "H", "H", "O", "O", "O", "O", "O", "O"],
  "fractional_positions": [[0.000, 0.000, 0.000], [0.500, 0.000, 0.500], [0.405, 0.530, 0.710], [0.595, 0.470, 0.290], [0.140, 0.107, 0.244], [0.243, 0.122, 0.757], [0.411, 0.459, 0.272], [0.589, 0.541, 0.728], [0.757, 0.878, 0.243], [0.860, 0.893, 0.756]]
}

---

{
  "formula": "Cd2Si2Bi",
  "functional": "PBE",
  "state": "optimized geometry",
  "magmom_total_mub_per_atom": 0.00,
  "spacegroup": "I4/mmm, No. 139",
  "rho_g_cm3": 7.07,
  "raw_formation_energy_ev_per_atom": 0.36,
  "lattice_angstrom": [[4.574, 0.000, 0.000], [0.000, 4.574, 0.000], [0.000, 0.000, 11.006]],
  "species": ["Cd", "Cd", "Cd", "Cd", "Si", "Si", "Si", "Si", "Bi", "Bi"],
  "fractional_positions": [[0.000, 0.500, 0.250], [0.000, 0.500, 0.750], [0.500, 0.000, 0.250], [0.500, 0.000, 0.750], [0.000, 0.000, 0.106], [0.000, 0.000, 0.894], [0.500, 0.500, 0.394], [0.500, 0.500, 0.606], [0.000, 0.000, 0.500], [0.500, 0.500, 0.000]]
}

---

{
  "formula": "PrEr2Tm3",
  "functional": "PBE",
  "state": "optimized geometry",
  "magmom_total_mub_per_atom": 0.00,
  "spacegroup": "C2/m, No. 12",
  "ef_ev_per_atom": 0.124,
  "rho_g_cm3": 8.50,
  "lattice_angstrom": [[11.406, -1.745, 0.000], [11.406, 1.745, 0.000], [-3.226, 0.000, 9.641]],
  "species": ["Pr", "Pr", "Er", "Er", "Er", "Er", "Tm", "Tm", "Tm", "Tm", "Tm", "Tm"],
  "fractional_positions": [[0.183, 0.183, 0.041], [0.817, 0.817, 0.959], [0.193, 0.193, 0.375], [0.432, 0.432, 0.857], [0.568, 0.568, 0.143], [0.807, 0.807, 0.625], [0.059, 0.059, 0.443], [0.195, 0.195, 0.715], [0.432, 0.432, 0.240], [0.568, 0.568, 0.760], [0.805, 0.805, 0.285], [0.941, 0.941, 0.557]]
}

---

no.,total energy (eV per cell)
1,-99.01
2,-61.93
3,-43.24
4,-126.45
5,-34.02
6,-70.69
7,-29.50
8,-53.15